#A
DFT (PBE) results for TiSiRu3 after structural relaxation.

The calculation puts the density at 7749 kg/m3.

Unit cell a=4.3312 b=4.3312 c=4.3312 alpha=90.00 beta=90.00 gamma=90.00
With the nearest neighbours (Å) after each atom.
Positions (direct):
Ru (0.0000, 0.5000, 0.0000)  2 Si 2.17
Ru (0.0000, 0.0000, 0.5000)  2 Si 2.17
Ru (0.5000, 0.0000, 0.0000)  2 Si 2.17
Si (0.0000, 0.0000, 0.0000)  6 Ru 2.17
Ti (0.5000, 0.5000, 0.5000)  12 Ru 3.06


#B
DFT (PBE) results for TiSiRu3 after structural relaxation.

The calculation puts the density at 7027 kg/m3.

Unit cell a=4.4747 b=4.4747 c=4.4747 alpha=90.00 beta=90.00 gamma=90.00
With the nearest neighbours (Å) after each atom.
Positions (direct):
Ru (0.0000, 0.5000, 0.0000)  2 Ti 2.24
Ru (0.0000, 0.0000, 0.5000)  2 Ti 2.24
Ru (0.5000, 0.0000, 0.0000)  2 Ti 2.24
Si (0.5000, 0.5000, 0.5000)  12 Ru 3.16
Ti (0.0000, 0.0000, 0.0000)  6 Ru 2.24


Least stable structure: #B